# GGA-PBE Ag5SbAu2, optimized geometry
# - raw total energy (eV/atom) = -3.123
# - calculated density (Mg/m³) = 11.63
# - formation energy (no corrections) (eV per atom) = -0.006
# - magnetic moment (μB per formula unit) = 0.0
data_Ag5SbAu2
_space_group_name_H-M_alt 'P 1'
_space_group_IT_number 1
_space_group_name_Hall 'P 1'
_cell_length_a 4.156
_cell_length_b 6.039
_cell_length_c 12.004
_cell_angle_alpha 90.00
_cell_angle_beta 90.00
_cell_angle_gamma 90.00
loop_
_atom_site_label
_atom_site_type_symbol
_atom_site_fract_x
_atom_site_fract_y
_atom_site_fract_z
Ag1 Ag 0.000 0.000 0.000
Ag2 Ag 0.000 0.009 0.249
Ag3 Ag 0.000 0.509 0.251
Au1 Au 0.500 0.747 0.373
Ag4 Ag 0.500 0.763 0.130
Ag5 Ag 0.000 0.500 0.500
Sb1 Sb 0.000 0.000 0.500
Au2 Au 0.500 0.253 0.627
Sb2 Sb 0.000 0.500 0.000
Ag6 Ag 0.000 0.491 0.749
Ag7 Ag 0.500 0.263 0.370
Ag8 Ag 0.500 0.737 0.630
Au3 Au 0.500 0.247 0.127
Ag9 Ag 0.000 0.991 0.751
Au4 Au 0.500 0.753 0.873
Ag10 Ag 0.500 0.237 0.870